# 1
The following is a DFT calculation (PBE-GGA) of an optimized crystal structure of Y2Ho5Tm12.

Cell: 6.075 9.281 10.517 Å, 100.98 95.60 90.08°
Positions (direct):
Y  0.079  0.315  0.474
Y  0.921  0.685  0.526
Ho  0.239  0.947  0.421
Ho  0.342  0.368  0.052
Ho  0.500  0.000  0.000
Ho  0.658  0.632  0.948
Ho  0.761  0.053  0.579
Tm  0.026  0.105  0.157
Tm  0.131  0.526  0.791
Tm  0.185  0.737  0.105
Tm  0.289  0.157  0.738
Tm  0.396  0.579  0.367
Tm  0.447  0.789  0.685
Tm  0.553  0.211  0.315
Tm  0.604  0.421  0.633
Tm  0.711  0.843  0.262
Tm  0.815  0.263  0.895
Tm  0.869  0.474  0.209
Tm  0.974  0.895  0.843

As for the excess energy over the best structure of this formula in the dataset: 0.0000 eV/atom. Its density is 8.69 g/cm³. As for the space group: P-1. As for the formation energy: 2.58 kJ per mole of atoms. For the energy, the calculation gives -88.967 eV/cell.

# 2
The following is a DFT calculation (PBE-GGA) of an optimized crystal structure of CsKTl2Ge.

Cell: 5.755 5.755 6.390 Å, 90.00 90.00 90.00°
Positions (direct):
Cs  0.000  0.000  0.000
K  0.500  0.500  0.000
Tl  0.000  0.500  0.500
Tl  0.500  0.000  0.500
Ge  0.500  0.500  0.500

Its density is 5.13 g/cm³. As for the space group: P4/mmm. As for the formation energy: 7.84 kJ per mole of atoms. For the energy, the calculation gives -10.894 eV/cell.

# 3
The following is a DFT calculation (PBE-GGA) of an optimized crystal structure of Rb2TaAl.

Cell: 9.703 9.703 9.703 Å, 94.16 94.16 148.73°
Positions (direct):
Rb  0.375  0.040  0.165
Rb  0.790  0.625  0.665
Rb  0.875  0.210  0.835
Rb  0.960  0.125  0.335
Ta  0.250  0.750  0.500
Ta  0.500  0.500  0.000
Al  0.000  0.000  0.000
Al  0.750  0.250  0.500

Its density is 2.76 g/cm³. As for the space group: I-42d. As for the formation energy: 131.66 kJ per mole of atoms. For the energy, the calculation gives -24.144 eV/cell.

# 4
The following is a DFT calculation (PBE-GGA) of an optimized crystal structure of Sr3Ga4Rh2.

Cell: 6.176 6.176 8.661 Å, 103.44 103.44 42.69°
Positions (direct):
Sr  0.000  0.000  0.000
Sr  0.388  0.388  0.308
Sr  0.612  0.612  0.692
Ga  0.119  0.119  0.408
Ga  0.277  0.277  0.922
Ga  0.723  0.723  0.078
Ga  0.881  0.881  0.592
Rh  0.305  0.305  0.641
Rh  0.695  0.695  0.359

Its density is 5.72 g/cm³. As for the space group: C2/m. As for the formation energy: -52.79 kJ per mole of atoms. For the energy, the calculation gives -36.780 eV/cell.

# 5
The following is a DFT calculation (PBE-GGA) of an optimized crystal structure of InTe2HN.

Cell: 4.438 4.438 5.880 Å, 90.00 90.00 90.00°
Positions (direct):
In  0.000  0.000  0.000
Te  0.000  0.500  0.500
Te  0.500  0.000  0.500
H  0.500  0.500  0.500
N  0.500  0.500  0.000

As for the excess energy over the best structure of this formula in the dataset: 0.0000 eV/atom. Its density is 5.52 g/cm³. As for the space group: P4/mmm. For the energy, the calculation gives -14.990 eV/cell.

# 6
The following is a DFT calculation (PBE-GGA) of an optimized crystal structure of KHfP2.

Cell: 4.827 4.827 4.827 Å, 60.00 60.00 60.00°
Positions (direct):
K  0.000  0.000  0.000
Hf  0.500  0.500  0.500
P  0.250  0.250  0.250
P  0.750  0.750  0.750

As for the excess energy over the best structure of this formula in the dataset: 0.6499 eV/atom. Its density is 5.84 g/cm³. As for the space group: Fm-3m. As for the formation energy: -1.57 kJ per mole of atoms. For the energy, the calculation gives -21.936 eV/cell.

# 7
The following is a DFT calculation (PBE-GGA) of an optimized crystal structure of BPRhC.

Cell: 2.846 4.329 4.445 Å, 117.30 101.76 94.57°
Positions (direct):
B  0.000  0.000  0.000
P  0.293  0.496  0.396
Rh  0.656  0.470  0.958
C  0.431  0.882  0.831

As for the excess energy over the best structure of this formula in the dataset: 0.1450 eV/atom. Its density is 5.57 g/cm³. As for the space group: P1. As for the formation energy: 18.60 kJ per mole of atoms. For the energy, the calculation gives -27.892 eV/cell.

# 8
The following is a DFT calculation (PBE-GGA) of an optimized crystal structure of TbSm2PuTe5.

Cell: 5.537 5.537 11.811 Å, 90.00 90.00 90.00°
Positions (direct):
Tb  0.000  0.000  0.000
Sm  0.500  0.500  0.160
Sm  0.500  0.500  0.840
Pu  0.000  0.000  0.500
Te  0.000  0.000  0.248
Te  0.000  0.000  0.752
Te  0.000  0.500  0.000
Te  0.500  0.000  0.000
Te  0.500  0.500  0.500

Its density is 6.15 g/cm³. As for the space group: P4/mmm. The raw formation energy is -0.668 eV/atom. For the energy, the calculation gives -50.121 eV/cell.

# 9
The following is a DFT calculation (PBE-GGA) of an optimized crystal structure of Ba2FeSi.

Cell: 7.476 7.476 7.476 Å, 146.96 141.93 51.27°
Positions (direct):
Ba  0.000  0.000  0.000
Ba  0.739  0.239  0.500
Fe  0.338  0.838  0.500
Si  0.406  0.406  0.000

Its density is 4.26 g/cm³. As for the space group: Imm2. The raw formation energy is 0.101 eV/atom. For the energy, the calculation gives -17.328 eV/cell.

# 10
The following is a DFT calculation (PBE-GGA) of an optimized crystal structure of ReNiI2N.

Cell: 5.511 5.511 3.749 Å, 90.00 90.00 90.00°
Positions (direct):
Re  0.000  0.000  0.000
Ni  0.500  0.500  0.500
I  0.000  0.500  0.000
I  0.500  0.000  0.000
N  0.000  0.000  0.500

As for the excess energy over the best structure of this formula in the dataset: 0.0000 eV/atom. Its density is 7.48 g/cm³. As for the space group: P4/mmm. The raw formation energy is 0.841 eV/atom. For the energy, the calculation gives -25.451 eV/cell.

# 11
The following is a DFT calculation (PBE-GGA) of an optimized crystal structure of KSnSe2O8.

Cell: 5.309 5.309 8.257 Å, 92.98 92.98 65.96°
Positions (direct):
K  0.000  0.000  0.000
Sn  0.000  0.000  0.500
Se  0.369  0.369  0.711
Se  0.631  0.631  0.289
O  0.236  0.722  0.692
O  0.243  0.243  0.548
O  0.278  0.764  0.308
O  0.296  0.296  0.890
O  0.704  0.704  0.110
O  0.722  0.236  0.692
O  0.757  0.757  0.452
O  0.764  0.278  0.308

Its density is 3.47 g/cm³. As for the space group: C2/m. The raw formation energy is -0.997 eV/atom. For the energy, the calculation gives -63.702 eV/cell.

# 12
The following is a DFT calculation (PBE-GGA) of an optimized crystal structure of Mo2RhSe.

Cell: 5.291 5.291 5.291 Å, 147.23 129.56 61.46°
Positions (direct):
Mo  0.000  0.000  0.000
Mo  0.719  0.219  0.500
Rh  0.267  0.767  0.500
Se  0.494  0.494  0.000

Its density is 10.14 g/cm³. As for the space group: Imm2. The raw formation energy is 0.066 eV/atom. For the energy, the calculation gives -32.235 eV/cell.

Q: Which magnetization values were calculated for the entries above? A: 0.0; 0.3; 5.8; 0.0; 2.8; 0.0; 0.0; 6.3; 1.8; 1.0; 0.0; 0.0, in Bohr magnetons per cell.